Record 1
VASP calculation (PBE-GGA) on crystalline Ac3Nd3In2 at its relaxed geometry.

Geometry as POSCAR:
```
Ac3Nd3In2
1.0
2.619 -6.415 0.000
2.619 6.415 0.000
0.000 0.000 17.690
Ac Nd In
6 6 4
Direct
0.054 0.946 0.609
0.054 0.946 0.891
0.323 0.677 0.750
0.677 0.323 0.250
0.946 0.054 0.109
0.946 0.054 0.391
0.365 0.635 0.539
0.365 0.635 0.961
0.396 0.604 0.250
0.604 0.396 0.750
0.635 0.365 0.039
0.635 0.365 0.461
0.231 0.769 0.117
0.231 0.769 0.383
0.769 0.231 0.617
0.769 0.231 0.883
```

Results
* E_tot: -66.599 eV per cell

=====

Record 2
VASP calculation (PBE-GGA) on crystalline AcNd2In6 at its relaxed geometry.

Geometry as POSCAR:
```
AcNd2In6
1.0
8.795 0.000 0.000
-4.397 7.617 0.000
0.000 0.000 3.809
Ac Nd In
1 2 6
Direct
0.000 0.000 0.000
0.333 0.667 0.000
0.667 0.333 0.000
0.000 0.337 0.500
0.000 0.663 0.500
0.337 0.000 0.500
0.337 0.337 0.500
0.663 0.000 0.500
0.663 0.663 0.500
```

Results
* E_tot: -34.072 eV per cell

=====

Record 3
VASP calculation (PBE-GGA) on crystalline Ac14NdIn at its relaxed geometry.

Geometry as POSCAR:
```
Ac14NdIn
1.0
7.838 0.000 0.000
0.000 7.838 0.000
0.000 0.000 11.105
Ac Nd In
14 1 1
Direct
0.000 0.000 0.000
0.000 0.500 0.000
0.000 0.500 0.500
0.248 0.248 0.258
0.248 0.248 0.742
0.248 0.752 0.258
0.248 0.752 0.742
0.500 0.000 0.000
0.500 0.000 0.500
0.500 0.500 0.000
0.752 0.248 0.258
0.752 0.248 0.742
0.752 0.752 0.258
0.752 0.752 0.742
0.500 0.500 0.500
0.000 0.000 0.500
```

Results
* E_tot: -65.438 eV per cell

=====

Question: E_tot of number 2 (AcNd2In6)?
Answer: -34.072 eV per cell